Compound: AuBrCl
Source: Alexandria
Functional: PBE-GGA
Structure: relaxed

Unit cell a=3.677 b=7.368 c=7.615 alpha=100.55 beta=90.04 gamma=75.56
Positions (direct):
Au 0.945 0.130 0.540
Au 0.025 0.972 0.972
Br 0.642 0.738 0.856
Br 0.328 0.364 0.657
Cl 0.872 0.279 0.127
Cl 0.099 0.823 0.386

N(E_F) = 1.04 states/eV/f.u.
E_form (uncorrected) = -0.015 eV per atom
Size of the total moment = 0.00 μB per cell